Here is a geometry-optimized BeNiIrO6 structure from Alexandria. Energies are from PBE with a Hubbard U.

For the total energy, the calculation gives -106.01 eV/cell. As for the density of states at the Fermi level: 6.67 states/eV/cell. The calculation puts the total magnetic moment at 0.173 μB per atom.

It has space group P-31c (No. 163), with a = 4.8166 Å, b = 4.8166 Å, c = 8.6440 Å, α = 90.00°, β = 90.00° and γ = 120.00°. Symmetry generates all atoms from Be at (0.3333, 0.6667, 0.2500), Ni at (0.0000, 0.0000, 0.0000), Ir at (0.3333, 0.6667, 0.7500) and O at (0.0127, 0.3581, 0.1336).